(1)
Material: BaHfGa2Cl8
Method: DFT, PBE-GGA
State: optimized geometry

The structure belongs to space group P-1 (No. 2); the cell edges are 6.866, 6.907 and 8.699 Å and the angles 89.92°, 89.93° and 88.27°. The inequivalent atoms are Ba at (0.000, 0.000, 0.000), Hf at (0.000, 0.000, 0.500), Ga at (0.500, 0.500, 0.243), Cl at (0.139, 0.209, 0.703), Cl at (0.139, 0.210, 0.296), Cl at (0.295, 0.799, 0.500) and Cl at (0.351, 0.715, 0.000).

As for the density of states at the Fermi level: 0.000 states/eV/atom. The uncorrected formation energy comes out at -1.619 eV per atom.

---

(2)
Material: Ta2BeF
Method: DFT, PBE-GGA
State: optimized geometry

The structure belongs to space group I-42d (No. 122); the cell edges are 3.885, 3.885 and 16.405 Å and the angles 90.00°, 90.00° and 90.00°. The inequivalent atoms are Ta at (0.242, 0.250, 0.125), Be at (0.000, 0.000, 0.000) and F at (0.000, 0.000, 0.500).

As for the density of states at the Fermi level: 0.854 states/eV/atom. For the excess energy over the best structure of this formula in the dataset, the calculation gives 357 meV per atom. The uncorrected formation energy comes out at 0.301 eV per atom.

---

(3)
Material: AgBi2Pd5
Method: DFT, PBE-GGA
State: optimized geometry

The structure belongs to space group I4/mmm (No. 139); the cell edges are 5.031, 5.031 and 11.729 Å and the angles 90.00°, 90.00° and 90.00°. The inequivalent atoms are Ag at (0.000, 0.000, 0.000), Bi at (0.000, 0.000, 0.259), Pd at (0.000, 0.000, 0.500) and Pd at (0.000, 0.500, 0.121).

As for the density of states at the Fermi level: 0.371 states/eV/atom. For the excess energy over the best structure of this formula in the dataset, the calculation gives 0 meV per atom. The formation energy comes out at -0.17 eV per atom.

---

(4)
Material: CsHgPN2
Method: DFT, PBE-GGA
State: optimized geometry

The structure belongs to space group P4/mmm (No. 123); the cell edges are 4.229, 4.229 and 6.391 Å and the angles 90.00°, 90.00° and 90.00°. The inequivalent atoms are Cs at (0.000, 0.000, 0.000), Hg at (0.500, 0.500, 0.000), P at (0.000, 0.000, 0.500) and N at (0.000, 0.500, 0.500).

As for the density of states at the Fermi level: 0.228 states/eV/atom. The uncorrected formation energy comes out at 1.511 eV per atom.

---

(5)
Material: Sm2Sc3Sb2
Method: DFT, PBE-GGA
State: optimized geometry

The structure belongs to space group C2/m (No. 12); the cell edges are 11.741, 4.198 and 8.308 Å and the angles 90.00°, 112.50° and 90.00°. The inequivalent atoms are Sm at (0.134, 0.000, 0.290), Sc at (0.000, 0.500, 0.500), Sc at (0.122, 0.500, 0.944) and Sb at (0.162, 0.000, 0.713).

As for the density of states at the Fermi level: 1.550 states/eV/atom. The uncorrected formation energy comes out at -0.656 eV per atom.

---

(6)
Material: Sr2YCd
Method: DFT, PBE-GGA
State: optimized geometry

The structure belongs to space group P4mm (No. 99); the cell edges are 3.915, 3.915 and 10.113 Å and the angles 90.00°, 90.00° and 90.00°. The inequivalent atoms are Sr at (0.000, 0.000, 0.000), Sr at (0.500, 0.500, 0.340), Y at (0.000, 0.000, 0.623) and Cd at (0.500, 0.500, 0.782).

As for the density of states at the Fermi level: 1.155 states/eV/atom. The formation energy comes out at -0.10 eV per atom.

---

(7)
Material: CsTcN2
Method: DFT, PBE-GGA
State: optimized geometry

The structure belongs to space group I-42d (No. 122); the cell edges are 6.081, 6.081 and 8.667 Å and the angles 90.00°, 90.00° and 90.00°. The inequivalent atoms are Cs at (0.000, 0.000, 0.000), Tc at (0.000, 0.000, 0.500) and N at (0.003, 0.250, 0.625).

As for the density of states at the Fermi level: 0.496 states/eV/atom. For the excess energy over the best structure of this formula in the dataset, the calculation gives 0 meV per atom. The uncorrected formation energy comes out at -0.195 eV per atom.

---

(8)
Material: LuHfZrIn
Method: DFT, PBE-GGA
State: optimized geometry

The structure belongs to space group F-43m (No. 216); the cell edges are 7.202, 7.202 and 7.202 Å and the angles 90.00°, 90.00° and 90.00°. The inequivalent atoms are Lu at (0.000, 0.000, 0.000), Hf at (0.250, 0.250, 0.250), Zr at (0.000, 0.000, 0.500) and In at (0.250, 0.250, 0.750).

As for the density of states at the Fermi level: 1.396 states/eV/atom. The formation energy comes out at 0.00 eV per atom.

---

(9)
Material: Li3Ag2Bi2
Method: DFT, PBE-GGA
State: optimized geometry

The structure belongs to space group C2/m (No. 12); the cell edges are 9.259, 4.320 and 7.267 Å and the angles 90.00°, 94.45° and 90.00°. The inequivalent atoms are Li at (0.000, 0.000, 0.000), Li at (0.141, 0.000, 0.429), Ag at (0.212, 0.500, 0.133) and Bi at (0.080, 0.500, 0.724).

As for the density of states at the Fermi level: 0.296 states/eV/atom. For the excess energy over the best structure of this formula in the dataset, the calculation gives 0 meV per atom. The formation energy comes out at -0.29 eV per atom.

---

(10)
Material: TaTiHRh2
Method: DFT, PBE-GGA
State: optimized geometry

The structure belongs to space group P4/mmm (No. 123); the cell edges are 3.988, 3.988 and 4.030 Å and the angles 90.00°, 90.00° and 90.00°. The inequivalent atoms are Ta at (0.000, 0.000, 0.000), Ti at (0.500, 0.500, 0.000), H at (0.000, 0.000, 0.500) and Rh at (0.000, 0.500, 0.500).

As for the density of states at the Fermi level: 0.983 states/eV/atom. For the excess energy over the best structure of this formula in the dataset, the calculation gives 53 meV per atom.

---

Repeat the ninth record exactly.
Material: Li3Ag2Bi2
Method: DFT, PBE-GGA
State: optimized geometry

The structure belongs to space group C2/m (No. 12); the cell edges are 9.259, 4.320 and 7.267 Å and the angles 90.00°, 94.45° and 90.00°. The inequivalent atoms are Li at (0.000, 0.000, 0.000), Li at (0.141, 0.000, 0.429), Ag at (0.212, 0.500, 0.133) and Bi at (0.080, 0.500, 0.724).

As for the density of states at the Fermi level: 0.296 states/eV/atom. For the excess energy over the best structure of this formula in the dataset, the calculation gives 0 meV per atom. The formation energy comes out at -0.29 eV per atom.

---

- Number 4 is which compound?
  CsHgPN2